# GGA-PBE Pm2TmO, relaxed
data_Pm2TmO
_cell_length_a 3.2376
_cell_length_b 3.2376
_cell_length_c 8.9425
_cell_angle_alpha 90.00
_cell_angle_beta 90.00
_cell_angle_gamma 90.00
_symmetry_space_group_name_H-M 'P 4/m m m'
_symmetry_Int_Tables_number 123
_symmetry_space_group_name_Hall '-P 4 2'
loop_
_atom_site_label
_atom_site_type_symbol
_atom_site_fract_x
_atom_site_fract_y
_atom_site_fract_z
Pm1 Pm 0.0000 0.0000 0.1728
Tm1 Tm 0.5000 0.5000 0.5000
O1 O 0.5000 0.5000 0.0000
# * E_form (uncorrected): -0.824 eV/atom
# * polymorph energy (0 for the lowest one): 438 meV/atom
# * density of states at the Fermi level: 5.036 states/eV per cell
# * total energy: -22.2 eV per cell
# * total moment: 0.0000 μB per atom

# GGA-PBE Pm3TmO, relaxed
data_Pm3TmO
_cell_length_a 5.0446
_cell_length_b 5.0446
_cell_length_c 5.0446
_cell_angle_alpha 90.00
_cell_angle_beta 90.00
_cell_angle_gamma 90.00
_symmetry_space_group_name_H-M 'P m -3 m'
_symmetry_Int_Tables_number 221
_symmetry_space_group_name_Hall '-P 4 2 3'
loop_
_atom_site_label
_atom_site_type_symbol
_atom_site_fract_x
_atom_site_fract_y
_atom_site_fract_z
Pm1 Pm 0.0000 0.0000 0.5000
Tm1 Tm 0.5000 0.5000 0.5000
O1 O 0.0000 0.0000 0.0000
# * E_form (uncorrected): -1.113 eV/atom
# * density of states at the Fermi level: 4.529 states/eV per cell
# * total energy: -29.2 eV per cell
# * total moment: 0.0000 μB per atom

# GGA-PBE PmTmO, relaxed
data_PmTmO
_cell_length_a 13.3944
_cell_length_b 3.3954
_cell_length_c 6.7457
_cell_angle_alpha 90.00
_cell_angle_beta 115.40
_cell_angle_gamma 90.00
_symmetry_space_group_name_H-M 'C 1 2/m 1'
_symmetry_Int_Tables_number 12
_symmetry_space_group_name_Hall '-C 2y'
loop_
_atom_site_label
_atom_site_type_symbol
_atom_site_fract_x
_atom_site_fract_y
_atom_site_fract_z
Pm1 Pm 0.0131 0.0000 0.2779
Tm1 Tm 0.2394 0.5000 0.7180
O1 O 0.1660 0.5000 0.3537
# * E_form (uncorrected): -1.715 eV/atom
# * polymorph energy (0 for the lowest one): 58 meV/atom
# * density of states at the Fermi level: 8.203 states/eV per cell
# * total energy: -77.3 eV per cell
# * total moment: 0.0000 μB per atom

# GGA-PBE Pm6TmO12, relaxed
data_Pm6TmO12
_cell_length_a 10.3358
_cell_length_b 10.3358
_cell_length_c 9.6444
_cell_angle_alpha 90.00
_cell_angle_beta 90.00
_cell_angle_gamma 120.00
_symmetry_space_group_name_H-M 'R -3'
_symmetry_Int_Tables_number 148
_symmetry_space_group_name_Hall '-R 3'
loop_
_atom_site_label
_atom_site_type_symbol
_atom_site_fract_x
_atom_site_fract_y
_atom_site_fract_z
Pm1 Pm 0.0530 0.7908 0.1537
Tm1 Tm 0.0000 0.0000 0.5000
O1 O 0.0411 0.8187 0.9004
O2 O 0.0432 0.8327 0.3943
# * E_form (uncorrected): -3.088 eV/atom
# * density of states at the Fermi level: 33.522 states/eV per cell
# * total energy: -453.4 eV per cell
# * total moment: 0.1639 μB per atom

# GGA-PBE PmTmUO6, relaxed
data_PmTmUO6
_cell_length_a 5.7562
_cell_length_b 5.7562
_cell_length_c 9.6803
_cell_angle_alpha 90.00
_cell_angle_beta 90.00
_cell_angle_gamma 120.00
_symmetry_space_group_name_H-M 'P -3 1 c'
_symmetry_Int_Tables_number 163
_symmetry_space_group_name_Hall '-P 3 2c'
loop_
_atom_site_label
_atom_site_type_symbol
_atom_site_fract_x
_atom_site_fract_y
_atom_site_fract_z
Pm1 Pm 0.0000 0.0000 0.0000
Tm1 Tm 0.3333 0.6667 0.2500
U1 U 0.3333 0.6667 0.7500
O1 O 0.0180 0.3594 0.6371
# * E_form (uncorrected): -3.364 eV/atom
# * density of states at the Fermi level: 0.000 states/eV per cell
# * total energy: -161.1 eV per cell
# * total moment: 0.0000 μB per atom